No. 1
CuP2AuO | PBE | optimized geometry

Cell lengths 4.672, 4.838, 4.672 Å; angles 90.00, 90.00, 90.00 degrees
Element x y z (fractional)
P1 0.000 0.000 0.500
P2 0.500 0.000 0.000
Au1 0.000 0.000 0.000
O1 0.500 0.500 0.500
Cu1 0.000 0.500 0.000

Values from the calculation:
calculated total energy	-0.2355	Ry per atom
total magnetization	0.0	μB per formula unit
excess energy over the best structure of this formula in the dataset	84.71	kJ/mol of atoms
symmetry	P4/mmm, No. 123
uncorrected formation energy	688	kJ/mol of formula units

---

No. 2
CuP2AuO | PBE | optimized geometry

Cell lengths 4.695, 4.695, 3.514 Å; angles 90.00, 90.00, 90.00 degrees
Element x y z (fractional)
P1 0.000 0.500 0.000
P2 0.500 0.000 0.000
Au1 0.500 0.500 0.500
O1 0.000 0.000 0.500
Cu1 0.000 0.000 0.000

Values from the calculation:
calculated total energy	-0.3000	Ry per atom
total magnetization	0.0	μB per formula unit
excess energy over the best structure of this formula in the dataset	0.00	kJ/mol of atoms
symmetry	P4/mmm, No. 123
uncorrected formation energy	264	kJ/mol of formula units

---

No. 3
CuP2AuO8 | PBE | optimized geometry

Cell lengths 4.650, 4.650, 7.916 Å; angles 72.92, 72.92, 60.00 degrees
Element x y z (fractional)
Cu1 0.000 0.000 0.000
P1 0.259 0.259 0.223
P2 0.741 0.741 0.777
Au1 0.500 0.500 0.500
O1 0.189 0.189 0.434
O2 0.605 0.265 0.162
O3 0.811 0.811 0.566
O4 0.968 0.605 0.162
O5 0.032 0.395 0.838
O6 0.265 0.968 0.162
O7 0.735 0.032 0.838
O8 0.395 0.735 0.838

Values from the calculation:
calculated total energy	-0.4316	Ry per atom
total magnetization	0.0	μB per formula unit
symmetry	R-3, No. 148
uncorrected formation energy	-1217	kJ/mol of formula units

---

No. 4
CuP2AuO | PBE | optimized geometry

Cell lengths 4.888, 4.888, 3.896 Å; angles 90.00, 90.00, 90.00 degrees
Element x y z (fractional)
P1 0.000 0.500 0.000
P2 0.500 0.000 0.000
Au1 0.000 0.000 0.000
O1 0.000 0.000 0.500
Cu1 0.500 0.500 0.500

Values from the calculation:
calculated total energy	-0.2623	Ry per atom
total magnetization	0.0	μB per formula unit
excess energy over the best structure of this formula in the dataset	49.52	kJ/mol of atoms
symmetry	P4/mmm, No. 123
uncorrected formation energy	512	kJ/mol of formula units

---

No. 5
PaCuAu2O6 | PBE | optimized geometry

Cell lengths 5.909, 7.789, 7.789 Å; angles 57.47, 65.20, 65.20 degrees
Element x y z (fractional)
Pa1 0.250 0.331 0.669
Pa2 0.750 0.669 0.331
Cu1 0.250 0.869 0.131
Cu2 0.750 0.131 0.869
Au1 0.237 0.825 0.695
Au2 0.263 0.305 0.175
Au3 0.763 0.175 0.305
Au4 0.737 0.695 0.825
O1 0.111 0.058 0.783
O2 0.389 0.217 0.942
O3 0.889 0.942 0.217
O4 0.611 0.783 0.058
O5 0.345 0.980 0.366
O6 0.155 0.634 0.020
O7 0.655 0.020 0.634
O8 0.845 0.366 0.980
O9 0.884 0.600 0.597
O10 0.616 0.403 0.400
O11 0.116 0.400 0.403
O12 0.384 0.597 0.600

Values from the calculation:
calculated total energy	-0.4572	Ry per atom
total magnetization	0.0	μB per formula unit
symmetry	C2/c, No. 15
uncorrected formation energy	-1188	kJ/mol of formula units

---

No. 6
PaCuAu2O8 | PBE | optimized geometry

Cell lengths 5.985, 5.985, 5.985 Å; angles 110.23, 110.23, 107.96 degrees
Element x y z (fractional)
Pa1 0.250 0.750 0.500
Cu1 0.000 0.000 0.000
Au1 0.750 0.250 0.500
Au2 0.500 0.500 0.000
O1 0.337 0.024 0.313
O2 0.274 0.449 0.175
O3 0.274 0.100 0.825
O4 0.711 0.024 0.687
O5 0.900 0.726 0.175
O6 0.976 0.289 0.313
O7 0.976 0.663 0.687
O8 0.551 0.726 0.825

Values from the calculation:
calculated total energy	-0.4155	Ry per atom
total magnetization	0.3	μB per formula unit
symmetry	I-4m2, No. 119
uncorrected formation energy	-775	kJ/mol of formula units

---

No. 7
PaCu2AuO8 | PBE | optimized geometry

Cell lengths 5.873, 5.873, 5.873 Å; angles 110.76, 110.76, 106.92 degrees
Element x y z (fractional)
Pa1 0.250 0.750 0.500
Cu1 0.750 0.250 0.500
Cu2 0.500 0.500 0.000
Au1 0.000 0.000 0.000
O1 0.351 0.040 0.311
O2 0.315 0.505 0.190
O3 0.315 0.125 0.810
O4 0.729 0.040 0.689
O5 0.875 0.685 0.190
O6 0.960 0.271 0.311
O7 0.960 0.649 0.689
O8 0.495 0.685 0.810

Values from the calculation:
calculated total energy	-0.4331	Ry per atom
total magnetization	2.7	μB per formula unit
symmetry	I-4m2, No. 119
uncorrected formation energy	-973	kJ/mol of formula units

---

No. 8
CuPbAuO4 | PBE | optimized geometry

Cell lengths 6.195, 6.788, 6.495 Å; angles 118.58, 90.00, 117.15 degrees
Element x y z (fractional)
Cu1 0.858 0.717 0.108
Cu2 0.142 0.283 0.892
Pb1 0.500 0.000 0.500
Pb2 0.500 0.000 0.000
Au1 0.500 0.500 0.500
Au2 0.000 0.500 0.500
O1 0.740 0.479 0.705
O2 0.221 0.923 0.212
O3 0.702 0.923 0.212
O4 0.740 0.479 0.275
O5 0.260 0.521 0.725
O6 0.779 0.077 0.788
O7 0.298 0.077 0.788
O8 0.260 0.521 0.295

Values from the calculation:
calculated total energy	-0.3538	Ry per atom
total magnetization	0.0	μB per formula unit
symmetry	Imma, No. 74
uncorrected formation energy	-268	kJ/mol of formula units

---

No. 9
CuPbAu2O8 | PBE | optimized geometry

Cell lengths 5.945, 5.945, 5.945 Å; angles 110.43, 110.43, 107.56 degrees
Element x y z (fractional)
Cu1 0.000 0.000 0.000
Pb1 0.250 0.750 0.500
Au1 0.750 0.250 0.500
Au2 0.500 0.500 0.000
O1 0.345 0.033 0.311
O2 0.277 0.449 0.172
O3 0.277 0.104 0.828
O4 0.722 0.033 0.689
O5 0.896 0.723 0.172
O6 0.967 0.278 0.311
O7 0.967 0.655 0.689
O8 0.551 0.723 0.828

Values from the calculation:
calculated total energy	-0.3143	Ry per atom
total magnetization	1.2	μB per formula unit
symmetry	I-4m2, No. 119
uncorrected formation energy	262	kJ/mol of formula units

---

No. 10
CuPdAuO5 | PBE | optimized geometry

Cell lengths 5.817, 5.817, 6.728 Å; angles 104.79, 104.79, 109.79 degrees
Element x y z (fractional)
Cu1 0.329 0.671 0.250
Cu2 0.671 0.329 0.750
Pd1 0.000 0.000 0.500
Pd2 0.000 0.000 0.000
Au1 0.680 0.320 0.250
Au2 0.320 0.680 0.750
O1 0.126 0.874 0.250
O2 0.874 0.126 0.750
O3 0.036 0.356 0.240
O4 0.964 0.644 0.760
O5 0.644 0.964 0.260
O6 0.356 0.036 0.740
O7 0.689 0.665 0.412
O8 0.311 0.335 0.588
O9 0.335 0.311 0.088
O10 0.665 0.689 0.912

Values from the calculation:
calculated total energy	-0.3401	Ry per atom
total magnetization	0.0	μB per formula unit
symmetry	C2/c, No. 15
uncorrected formation energy	32	kJ/mol of formula units

---

No. 11
CuPdAuO4 | PBE | optimized geometry

Cell lengths 5.985, 6.514, 6.049 Å; angles 117.67, 90.00, 117.35 degrees
Element x y z (fractional)
Cu1 0.862 0.724 0.112
Cu2 0.138 0.276 0.888
Pd1 0.500 0.000 0.500
Pd2 0.500 0.000 0.000
Au1 0.500 0.500 0.500
Au2 0.000 0.500 0.500
O1 0.713 0.427 0.693
O2 0.240 0.945 0.223
O3 0.706 0.945 0.223
O4 0.713 0.427 0.233
O5 0.287 0.573 0.767
O6 0.760 0.055 0.777
O7 0.294 0.055 0.777
O8 0.287 0.573 0.307

Values from the calculation:
calculated total energy	-0.3548	Ry per atom
total magnetization	0.0	μB per formula unit
symmetry	Imma, No. 74
uncorrected formation energy	-134	kJ/mol of formula units

---

No. 12
PmCu2AuO4 | PBE | optimized geometry

Cell lengths 5.590, 5.086, 5.086 Å; angles 78.00, 56.66, 56.66 degrees
Element x y z (fractional)
Pm1 0.000 0.000 0.000
Cu1 0.500 0.750 0.250
Cu2 0.500 0.250 0.750
Au1 0.000 0.500 0.500
O1 0.502 0.500 0.999
O2 0.498 0.001 0.500
O3 0.000 0.500 0.001
O4 0.000 0.999 0.500

Values from the calculation:
calculated total energy	-0.4112	Ry per atom
total magnetization	0.6	μB per formula unit
symmetry	I-42m, No. 121
uncorrected formation energy	-840	kJ/mol of formula units

---

No. 13
Pm2CuAuO5 | PBE | optimized geometry

Cell lengths 3.575, 6.784, 10.663 Å; angles 90.00, 90.00, 105.28 degrees
Element x y z (fractional)
Pm1 0.863 0.726 0.832
Pm2 0.106 0.212 0.691
Pm3 0.137 0.274 0.332
Pm4 0.894 0.788 0.191
Cu1 0.785 0.569 0.555
Cu2 0.215 0.431 0.055
Au1 0.551 0.102 0.971
Au2 0.449 0.898 0.471
O1 0.352 0.705 0.996
O2 0.697 0.395 0.778
O3 0.484 0.968 0.790
O4 0.271 0.542 0.597
O5 0.924 0.849 0.614
O6 0.648 0.295 0.496
O7 0.303 0.605 0.278
O8 0.516 0.032 0.290
O9 0.729 0.458 0.097
O10 0.076 0.151 0.114

Values from the calculation:
calculated total energy	-0.4713	Ry per atom
total magnetization	0.0	μB per formula unit
symmetry	Cmc2_1, No. 36
uncorrected formation energy	-1548	kJ/mol of formula units

---

No. 14
PrCu4Au3O12 | PBE | optimized geometry

Cell lengths 6.579, 6.579, 6.579 Å; angles 109.47, 109.47, 109.47 degrees
Element x y z (fractional)
Pr1 0.000 0.000 0.000
Cu1 0.500 0.000 0.000
Cu2 0.500 0.500 0.500
Cu3 0.000 0.500 0.000
Cu4 0.000 0.000 0.500
Au1 0.000 0.500 0.500
Au2 0.500 0.500 0.000
Au3 0.500 0.000 0.500
O1 0.297 0.824 0.122
O2 0.703 0.176 0.878
O3 0.703 0.824 0.527
O4 0.878 0.703 0.176
O5 0.824 0.122 0.297
O6 0.176 0.473 0.297
O7 0.473 0.297 0.176
O8 0.176 0.878 0.703
O9 0.297 0.176 0.473
O10 0.122 0.297 0.824
O11 0.824 0.527 0.703
O12 0.527 0.703 0.824

Values from the calculation:
calculated total energy	-0.3830	Ry per atom
total magnetization	0.0	μB per formula unit
symmetry	Im-3, No. 204
uncorrected formation energy	-1324	kJ/mol of formula units

---

No. 15
Pr2CuAuO5 | PBE | optimized geometry

Cell lengths 3.607, 6.896, 10.726 Å; angles 90.00, 90.00, 105.16 degrees
Element x y z (fractional)
Pr1 0.861 0.723 0.833
Pr2 0.105 0.210 0.690
Pr3 0.139 0.277 0.333
Pr4 0.895 0.790 0.190
Cu1 0.784 0.569 0.555
Cu2 0.216 0.431 0.055
Au1 0.551 0.103 0.971
Au2 0.449 0.897 0.471
O1 0.351 0.702 0.998
O2 0.696 0.392 0.779
O3 0.484 0.968 0.791
O4 0.272 0.545 0.597
O5 0.922 0.844 0.610
O6 0.649 0.298 0.498
O7 0.304 0.608 0.279
O8 0.516 0.032 0.291
O9 0.728 0.455 0.097
O10 0.078 0.156 0.110

Values from the calculation:
calculated total energy	-0.4697	Ry per atom
total magnetization	0.0	μB per formula unit
symmetry	Cmc2_1, No. 36
uncorrected formation energy	-1523	kJ/mol of formula units

---

No. 16
CuPtAuO5 | PBE | optimized geometry

Cell lengths 6.038, 6.038, 7.280 Å; angles 115.99, 115.99, 98.12 degrees
Element x y z (fractional)
Cu1 0.306 0.694 0.250
Cu2 0.694 0.306 0.750
Pt1 0.000 0.000 0.500
Pt2 0.000 0.000 0.000
Au1 0.656 0.344 0.250
Au2 0.344 0.656 0.750
O1 0.089 0.911 0.250
O2 0.911 0.089 0.750
O3 0.863 0.293 0.093
O4 0.137 0.707 0.907
O5 0.707 0.137 0.407
O6 0.293 0.863 0.593
O7 0.642 0.672 0.241
O8 0.358 0.328 0.759
O9 0.328 0.358 0.259
O10 0.672 0.642 0.741

Values from the calculation:
calculated total energy	-0.3605	Ry per atom
total magnetization	1.5	μB per formula unit
symmetry	C2/c, No. 15
uncorrected formation energy	-99	kJ/mol of formula units

---

No. 17
PuCuAu2O8 | PBE | optimized geometry

Cell lengths 5.901, 5.901, 5.901 Å; angles 114.38, 114.38, 100.05 degrees
Element x y z (fractional)
Pu1 0.250 0.750 0.500
Cu1 0.000 0.000 0.000
Au1 0.750 0.250 0.500
Au2 0.500 0.500 0.000
O1 0.343 0.032 0.311
O2 0.272 0.474 0.202
O3 0.272 0.070 0.798
O4 0.721 0.032 0.689
O5 0.930 0.728 0.202
O6 0.968 0.279 0.311
O7 0.968 0.657 0.689
O8 0.526 0.728 0.798

Values from the calculation:
calculated total energy	-0.4356	Ry per atom
total magnetization	0.0	μB per formula unit
symmetry	I-4m2, No. 119
uncorrected formation energy	-624	kJ/mol of formula units

---

No. 18
Rb5CuAuO2 | PBE | optimized geometry

Cell lengths 5.737, 5.737, 9.276 Å; angles 90.00, 90.00, 90.00 degrees
Element x y z (fractional)
Rb1 0.000 0.000 0.500
Rb2 0.000 0.500 0.779
Rb3 0.500 0.000 0.221
Rb4 0.000 0.500 0.221
Rb5 0.500 0.000 0.779
Cu1 0.000 0.000 0.000
Au1 0.500 0.500 0.500
O1 0.000 0.000 0.197
O2 0.000 0.000 0.803

Values from the calculation:
calculated total energy	-0.2345	Ry per atom
total magnetization	0.2	μB per formula unit
symmetry	P4/mmm, No. 123
uncorrected formation energy	-636	kJ/mol of formula units

---

No. 19
RbCuAuO2 | PBE | optimized geometry

Cell lengths 4.902, 5.909, 6.933 Å; angles 115.22, 90.00, 90.00 degrees
Element x y z (fractional)
Rb1 0.254 0.750 0.500
Rb2 0.746 0.250 0.500
Cu1 0.500 0.750 0.000
Cu2 0.500 0.250 0.000
Au1 0.000 0.000 0.000
Au2 0.000 0.500 0.000
O1 0.653 0.905 0.810
O2 0.653 0.595 0.190
O3 0.347 0.405 0.810
O4 0.347 0.095 0.190

Values from the calculation:
calculated total energy	-0.3130	Ry per atom
total magnetization	1.0	μB per formula unit
symmetry	Cmme, No. 67
uncorrected formation energy	-293	kJ/mol of formula units

---

No. 20
CuRhAu2O8 | PBE | optimized geometry

Cell lengths 5.723, 5.723, 5.723 Å; angles 112.62, 112.62, 103.34 degrees
Element x y z (fractional)
Cu1 0.250 0.750 0.500
Rh1 0.000 0.000 0.000
Au1 0.750 0.250 0.500
Au2 0.500 0.500 0.000
O1 0.334 0.017 0.317
O2 0.258 0.432 0.175
O3 0.258 0.083 0.825
O4 0.700 0.017 0.683
O5 0.917 0.742 0.175
O6 0.983 0.300 0.317
O7 0.983 0.666 0.683
O8 0.568 0.742 0.825

Values from the calculation:
calculated total energy	-0.3368	Ry per atom
total magnetization	0.0	μB per formula unit
symmetry	I-4m2, No. 119
uncorrected formation energy	259	kJ/mol of formula units